Sr3Al2Cl2O5: relaxed, PBEsol.

a = 9.3848 Å, b = 9.3919 Å, c = 9.3992 Å
α = 90.00°, β = 90.00°, γ = 90.00°
Space group P2_12_12_1 (No. 19)
Symmetry-distinct sites (fractional):
Sr (0.0154, 0.2482, 0.1627)
Sr (0.1627, 0.0156, 0.7630)
Sr (0.2267, 0.6629, 0.9979)
Al (0.1473, 0.6538, 0.6564)
Al (0.1571, 0.3493, 0.8523)
Cl (0.0336, 0.9314, 0.0631)
Cl (0.0775, 0.0434, 0.4508)
O (0.0168, 0.2302, 0.8968)
O (0.1025, 0.5067, 0.7657)
O (0.2272, 0.7464, 0.2430)
O (0.2394, 0.3965, 0.0151)
O (0.2447, 0.7718, 0.7614)

formation energy without anion corrections = -2.9258 eV/atom
final energy = -6.59 eV/atom

AlOs2Cl: relaxed, PBEsol.

a = 2.8441 Å, b = 2.8441 Å, c = 28.3323 Å
α = 90.00°, β = 90.00°, γ = 120.00°
Space group R3m (No. 160, hexagonal axes)
Symmetry-distinct sites (fractional):
Al (0.0000, 0.0000, 0.0000)
Os (0.0000, 0.0000, 0.2629)
Os (0.0000, 0.0000, 0.5251)
Cl (0.0000, 0.0000, 0.7264)

formation energy without anion corrections = 0.1287 eV/atom
final energy = -7.50 eV/atom